[1]
A plane-wave DFT calculation with PBE-GGA was carried out for crystalline BaLaAgS3 at its relaxed geometry.

* total energy: -5.324 eV per atom
* total magnetization: 0.0001 μB/atom
* SG: C2/m (12)

Cell: 9.3157 9.3157 8.6725 Å, 103.50 103.50 26.12°
With the nearest neighbours (Å) after each atom.
Fractional coordinates of all 12 atoms:
Ba1 0.1328 0.1328 0.0686  7 S 3.15-3.38
Ba2 0.8672 0.8672 0.9314  7 S 3.15-3.38
La1 0.1634 0.1634 0.5858  6 S 2.88-2.90
La2 0.8366 0.8366 0.4142  6 S 2.88-2.90
Ag1 0.4825 0.4825 0.2931  4 S 2.64-2.79
Ag2 0.5175 0.5175 0.7069  4 S 2.64-2.79
S1 0.0000 0.0000 0.5000  4 Ag 2.73, 2 La 2.88
S2 0.3246 0.3246 0.1837  1 Ag 2.79, 2 La 2.88
S3 0.3275 0.3275 0.6391  3 La 2.90, 2 Ba 3.24
S4 0.5000 0.5000 0.0000  2 Ag 2.64
S5 0.6725 0.6725 0.3609  3 La 2.90, 2 Ba 3.24
S6 0.6754 0.6754 0.8163  1 Ag 2.79, 2 La 2.88

---

[2]
A plane-wave DFT calculation with PBE-GGA was carried out for crystalline Ho3Ge7 at its relaxed geometry.

* total energy: -5.132 eV per atom
* total magnetization: 0.0002 μB/atom
* SG: Cmmm (65)

Cell: 12.3350 12.3350 4.1579 Å, 90.00 90.00 161.08°
With the nearest neighbours (Å) after each atom.
Fractional coordinates of all 10 atoms:
Ho1 0.0000 0.0000 0.0000  12 Ge 2.90-3.09
Ho2 0.1835 0.8165 0.0000  10 Ge 2.99-3.22
Ho3 0.8165 0.1835 0.0000  10 Ge 2.99-3.22
Ge1 0.0938 0.9062 0.5000  6 Ge 2.90-3.05, 4 Ho 3.01-3.09
Ge2 0.2848 0.7152 0.5000  2 Ge 2.64
Ge3 0.4067 0.5933 0.0000  6 Ge 2.90-3.08, 4 Ho 2.99-3.04
Ge4 0.5000 0.5000 0.5000  4 Ho 2.90, 8 Ge 3.05-3.08
Ge5 0.5933 0.4067 0.0000  6 Ge 2.90-3.08, 4 Ho 2.99-3.04
Ge6 0.7152 0.2848 0.5000  2 Ge 2.64
Ge7 0.9062 0.0938 0.5000  6 Ge 2.90-3.05, 4 Ho 3.01-3.09

---

[3]
A plane-wave DFT calculation with PBE-GGA was carried out for crystalline TlZnSeF at its relaxed geometry.

* SG: R-3m (166)
* excess energy over the best structure of this formula in the dataset: 3 meV per atom

Cell: 12.3463 12.3463 12.3463 Å, 19.26 19.26 19.26°
With the nearest neighbours (Å) after each atom.
Fractional coordinates of all 8 atoms:
Tl1 0.1208 0.1208 0.1208  4 F 2.50-2.53
Tl2 0.8792 0.8792 0.8792  4 F 2.50-2.53
Zn1 0.3070 0.3070 0.3070  4 Se 2.49-2.62
Zn2 0.6930 0.6930 0.6930  4 Se 2.49-2.62
Se1 0.3790 0.3790 0.3790  4 Zn 2.49-2.62
Se2 0.6210 0.6210 0.6210  4 Zn 2.49-2.62
F1 0.1895 0.1895 0.1895  4 Tl 2.50-2.53
F2 0.8105 0.8105 0.8105  4 Tl 2.50-2.53

---

[4]
A plane-wave DFT calculation with PBE-GGA was carried out for crystalline HfZnNi2 at its relaxed geometry.

* ΔE_f: -1.33 eV per formula unit
* total magnetization: 0.0004 μB/atom
* SG: P6_3/mmc (194)

Cell: 4.2624 4.2624 7.3390 Å, 90.00 90.00 120.00°
With the nearest neighbours (Å) after each atom.
Fractional coordinates of all 8 atoms:
Hf1 0.0000 0.0000 0.0000  6 Ni 2.55
Hf2 0.0000 0.0000 0.5000  6 Ni 2.55
Zn1 0.3333 0.6667 0.2500  8 Ni 2.51-2.72
Zn2 0.6667 0.3333 0.7500  8 Ni 2.51-2.72
Ni1 0.3333 0.6667 0.5926  1 Ni 2.31, 1 Zn 2.51, 3 Hf 2.55
Ni2 0.3333 0.6667 0.9074  1 Ni 2.31, 1 Zn 2.51, 3 Hf 2.55
Ni3 0.6667 0.3333 0.0926  1 Ni 2.31, 1 Zn 2.51, 3 Hf 2.55
Ni4 0.6667 0.3333 0.4074  1 Ni 2.31, 1 Zn 2.51, 3 Hf 2.55

---

Copy entry 4 word for word.
A plane-wave DFT calculation with PBE-GGA was carried out for crystalline HfZnNi2 at its relaxed geometry.

* ΔE_f: -1.33 eV per formula unit
* total magnetization: 0.0004 μB/atom
* SG: P6_3/mmc (194)

Cell: 4.2624 4.2624 7.3390 Å, 90.00 90.00 120.00°
With the nearest neighbours (Å) after each atom.
Fractional coordinates of all 8 atoms:
Hf1 0.0000 0.0000 0.0000  6 Ni 2.55
Hf2 0.0000 0.0000 0.5000  6 Ni 2.55
Zn1 0.3333 0.6667 0.2500  8 Ni 2.51-2.72
Zn2 0.6667 0.3333 0.7500  8 Ni 2.51-2.72
Ni1 0.3333 0.6667 0.5926  1 Ni 2.31, 1 Zn 2.51, 3 Hf 2.55
Ni2 0.3333 0.6667 0.9074  1 Ni 2.31, 1 Zn 2.51, 3 Hf 2.55
Ni3 0.6667 0.3333 0.0926  1 Ni 2.31, 1 Zn 2.51, 3 Hf 2.55
Ni4 0.6667 0.3333 0.4074  1 Ni 2.31, 1 Zn 2.51, 3 Hf 2.55